{
  "formula": "ErBiN2O",
  "functional": "PBE",
  "state": "relaxed",
  "magmom_total_mub_per_fu": 0.0,
  "lattice": [[-3.712, -6.764, -2.490], [7.101, -3.982, 0.233], [2.079, 4.322, 10.497]],
  "species": ["O", "O", "O", "O", "O", "O", "O", "O", "Bi", "Bi", "Bi", "Bi", "Bi", "Bi", "Bi", "Bi", "N", "N", "N", "N", "N", "N", "N", "N", "N", "N", "N", "N", "N", "N", "N", "N", "Er", "Er", "Er", "Er", "Er", "Er", "Er", "Er"],
  "frac_coords": [[0.836, 0.973, 0.337], [0.164, 0.027, 0.663], [0.164, 0.473, 0.163], [0.836, 0.527, 0.837], [0.312, 0.540, 0.995], [0.312, 0.960, 0.495], [0.688, 0.460, 0.005], [0.688, 0.040, 0.505], [0.014, 0.988, 0.770], [0.986, 0.012, 0.230], [0.530, 0.996, 0.775], [0.986, 0.488, 0.730], [0.470, 0.004, 0.225], [0.014, 0.512, 0.270], [0.470, 0.496, 0.725], [0.530, 0.504, 0.275], [0.926, 0.761, 0.142], [0.420, 0.744, 0.778], [0.580, 0.244, 0.722], [0.791, 0.614, 0.296], [0.694, 0.394, 0.502], [0.209, 0.386, 0.704], [0.580, 0.256, 0.222], [0.926, 0.739, 0.642], [0.694, 0.106, 0.002], [0.209, 0.114, 0.204], [0.306, 0.606, 0.498], [0.306, 0.894, 0.998], [0.074, 0.239, 0.858], [0.420, 0.756, 0.278], [0.074, 0.261, 0.358], [0.791, 0.886, 0.796], [0.450, 0.217, 0.474], [0.064, 0.719, 0.020], [0.550, 0.717, 0.026], [0.936, 0.219, 0.480], [0.936, 0.281, 0.980], [0.450, 0.283, 0.974], [0.550, 0.783, 0.526], [0.064, 0.781, 0.520]]
}

***

{
  "formula": "ErBiN2O",
  "functional": "PBE",
  "state": "relaxed",
  "magmom_total_mub_per_fu": 0.0,
  "lattice": [[-2.033, 5.751, -0.799], [-2.854, -1.961, -5.085], [-1.231, -2.759, 5.202]],
  "species": ["O", "O", "N", "N", "N", "N", "Er", "Er", "Bi", "Bi"],
  "frac_coords": [[0.146, 0.854, 0.000], [0.854, 0.146, 0.000], [0.835, 0.165, 0.500], [0.490, 0.490, 0.094], [0.510, 0.510, 0.906], [0.165, 0.835, 0.500], [0.153, 0.153, 0.414], [0.847, 0.847, 0.586], [0.000, 0.500, 0.000], [0.500, 0.000, 0.000]]
}

***

{
  "formula": "ErBiN2O",
  "functional": "PBE",
  "state": "relaxed",
  "magmom_total_mub_per_fu": 0.0,
  "lattice": [[-4.366, 2.831, 2.900], [4.366, -2.831, 2.900], [4.366, 2.831, -2.900]],
  "species": ["O", "O", "Er", "Er", "N", "N", "N", "N", "Bi", "Bi"],
  "frac_coords": [[0.631, 0.533, 0.598], [0.935, 0.033, 0.402], [0.150, 0.435, 0.216], [0.219, 0.935, 0.784], [0.688, 0.361, 0.146], [0.688, 0.041, 0.827], [0.214, 0.541, 0.854], [0.214, 0.861, 0.173], [0.711, 0.211, 0.500], [0.711, 0.711, 0.000]]
}

***

Number 1: raw total energy -6.692 eV per atom. Number 2: raw total energy -6.789 eV per atom. Number 3: raw total energy -6.628 eV per atom.